[1]
VASP calculation (PBE) on a relaxed structure of Pm11Tl9Cu4.

Properties
Energy of formation from the pure elements in kcal/mol of atoms: -7.60
Size of the total moment in Bohr magnetons per cell: 0.00
Density of states at the Fermi level in states/eV/f.u.: 20.3

abc: 3.8408 13.4775 13.4775
angles: 112.80 90.00 90.00
With the nearest neighbours (Å) after each atom.
Positions (direct):
1 Pm 0.0000 0.8362 0.1638  8 Tl 3.34-3.53, 3 Pm 3.67-3.68
2 Pm 0.0000 0.6279 0.3721  4 Cu 3.01
3 Pm 0.0000 0.0000 0.0000  8 Tl 3.32, 2 Pm 3.68
4 Pm 0.0000 0.5849 0.9238  2 Cu 2.94, 4 Tl 3.27-3.29
5 Pm 0.0000 0.3072 0.3072  4 Cu 3.01
6 Pm 0.0000 0.6928 0.6928  4 Cu 3.01
7 Pm 0.0000 0.0762 0.4151  2 Cu 2.94, 4 Tl 3.27-3.29
8 Pm 0.0000 0.9238 0.5849  2 Cu 2.94, 4 Tl 3.27-3.29
9 Pm 0.0000 0.3721 0.6279  4 Cu 3.01
10 Pm 0.0000 0.4151 0.0762  2 Cu 2.94, 4 Tl 3.27-3.29
11 Pm 0.0000 0.1638 0.8362  8 Tl 3.34-3.53, 3 Pm 3.67-3.68
12 Tl 0.5000 0.1552 0.6298  1 Cu 3.17, 1 Tl 3.21, 8 Pm 3.29-3.51
13 Tl 0.5000 0.2173 0.0715  1 Cu 3.13, 6 Pm 3.27-3.50, 1 Tl 3.27
14 Tl 0.5000 0.6298 0.1552  1 Cu 3.17, 1 Tl 3.21, 8 Pm 3.29-3.51
15 Tl 0.5000 0.0715 0.2173  1 Cu 3.13, 6 Pm 3.27-3.50, 1 Tl 3.27
16 Tl 0.5000 0.8448 0.3702  1 Cu 3.17, 1 Tl 3.21, 8 Pm 3.29-3.51
17 Tl 0.5000 0.9285 0.7827  1 Cu 3.13, 6 Pm 3.27-3.50, 1 Tl 3.27
18 Tl 0.5000 0.5000 0.5000  4 Cu 3.15, 8 Pm 3.45-3.46
19 Tl 0.5000 0.7827 0.9285  1 Cu 3.13, 6 Pm 3.27-3.50, 1 Tl 3.27
20 Tl 0.5000 0.3702 0.8448  1 Cu 3.17, 1 Tl 3.21, 8 Pm 3.29-3.51
21 Cu 0.5000 0.4495 0.2514  6 Pm 2.94-3.01, 3 Tl 3.13-3.17
22 Cu 0.5000 0.7486 0.5505  6 Pm 2.94-3.01, 3 Tl 3.13-3.17
23 Cu 0.5000 0.2514 0.4495  6 Pm 2.94-3.01, 3 Tl 3.13-3.17
24 Cu 0.5000 0.5505 0.7486  6 Pm 2.94-3.01, 3 Tl 3.13-3.17

***

[2]
VASP calculation (PBE) on a relaxed structure of Ca8Nd.

Properties
Energy of formation from the pure elements in kcal/mol of atoms: 1.02
Size of the total moment in Bohr magnetons per cell: 0.78
Density of states at the Fermi level in states/eV/f.u.: 12.8

abc: 5.6007 8.5997 8.5997
angles: 83.91 71.00 71.00
With the nearest neighbours (Å) after each atom.
Positions (direct):
1 Ca 0.6696 0.3304 0.3304  1 Nd 3.80, 11 Ca 3.86-3.93
2 Ca 0.3304 0.6696 0.6696  1 Nd 3.80, 11 Ca 3.86-3.93
3 Ca 0.3360 0.0000 0.3280  10 Ca 3.77-3.96, 2 Nd 3.87
4 Ca 0.3360 0.3280 0.0000  10 Ca 3.77-3.96, 2 Nd 3.87
5 Ca 0.0000 0.6696 0.3304  1 Nd 3.80, 11 Ca 3.86-3.93
6 Ca 0.0000 0.3304 0.6696  1 Nd 3.80, 11 Ca 3.86-3.93
7 Ca 0.6640 0.0000 0.6720  10 Ca 3.77-3.96, 2 Nd 3.87
8 Ca 0.6640 0.6720 0.0000  10 Ca 3.77-3.96, 2 Nd 3.87
9 Nd 0.0000 0.0000 0.0000  12 Ca 3.80-3.87

***

[3]
VASP calculation (PBE) on a relaxed structure of Tb2CdRuC.

Properties
Energy of formation from the pure elements in kcal/mol of atoms: -8.91
Size of the total moment in Bohr magnetons per cell: 0.00
Density of states at the Fermi level in states/eV/f.u.: 2.1

abc: 3.9345 5.0615 5.0615
angles: 90.00 90.00 90.00
With the nearest neighbours (Å) after each atom.
Positions (direct):
1 C 0.0000 0.0000 0.0000  2 Ru 1.97
2 Cd 0.5000 0.5000 0.5000  8 Tb 3.21, 4 Ru 3.58
3 Tb 0.0000 0.5000 0.0000  2 C 2.53
4 Tb 0.0000 0.0000 0.5000  2 C 2.53
5 Ru 0.5000 0.0000 0.0000  2 C 1.97

***

[4]
VASP calculation (PBE) on a relaxed structure of InSbSe.

Properties
Formation energy (no corrections) in eV per atom: -0.188
Size of the total moment in Bohr magnetons per cell: 0.00
Density of states at the Fermi level in states/eV/f.u.: 0.2

abc: 4.9207 7.3897 5.7736
angles: 90.00 111.17 90.00
With the nearest neighbours (Å) after each atom.
Positions (direct):
1 In 0.8589 0.2463 0.8153  2 Se 2.79, 2 Sb 2.88-2.90
2 In 0.8589 0.7537 0.8153  2 Se 2.79, 2 Sb 2.88-2.90
3 Se 0.7178 0.0000 0.1196  1 Sb 2.68, 2 In 2.79
4 Se 0.2874 0.5000 0.0565  1 Sb 2.72, 2 In 2.79
5 Sb 0.3848 0.5000 0.6221  1 Se 2.72, 2 In 2.88
6 Sb 0.1330 0.0000 0.5745  1 Se 2.68, 2 In 2.90

***

Copy entry 3 word for word.
VASP calculation (PBE) on a relaxed structure of Tb2CdRuC.

Properties
Energy of formation from the pure elements in kcal/mol of atoms: -8.91
Size of the total moment in Bohr magnetons per cell: 0.00
Density of states at the Fermi level in states/eV/f.u.: 2.1

abc: 3.9345 5.0615 5.0615
angles: 90.00 90.00 90.00
With the nearest neighbours (Å) after each atom.
Positions (direct):
1 C 0.0000 0.0000 0.0000  2 Ru 1.97
2 Cd 0.5000 0.5000 0.5000  8 Tb 3.21, 4 Ru 3.58
3 Tb 0.0000 0.5000 0.0000  2 C 2.53
4 Tb 0.0000 0.0000 0.5000  2 C 2.53
5 Ru 0.5000 0.0000 0.0000  2 C 1.97